1.
! Er2ScCu, relaxed, DFT PBE; values from VASP
&SYSTEM
  ibrav = 0, nat = 4, ntyp = 3
/
ATOMIC_SPECIES
Er 167.26 Er.upf
Sc 44.96 Sc.upf
Cu 63.55 Cu.upf
CELL_PARAMETERS angstrom
1.688 0.974 10.488
-1.688 0.974 10.488
0.000 -1.949 10.488
ATOMIC_POSITIONS angstrom
Er 0.000 0.000 3.175
Er 0.000 0.000 28.289
Sc 0.000 0.000 0.000
Cu 0.000 0.000 15.732
! ΔE_f: 278 meV/atom
! ΔE to the lowest computed polymorph: 390 meV per atom
! total moment: 0.7 μB per formula unit



2.
! Er2ScCu, relaxed, DFT PBE; values from VASP
&SYSTEM
  ibrav = 0, nat = 4, ntyp = 3
/
ATOMIC_SPECIES
Er 167.26 Er.upf
Sc 44.96 Sc.upf
Cu 63.55 Cu.upf
CELL_PARAMETERS angstrom
3.403 0.000 0.000
0.000 3.403 0.000
0.000 0.000 8.320
ATOMIC_POSITIONS angstrom
Er 0.000 0.000 1.740
Er 0.000 0.000 6.580
Sc 1.702 1.702 4.160
Cu 1.702 1.702 0.000
! ΔE_f: -95 meV/atom
! ΔE to the lowest computed polymorph: 18 meV per atom
! total moment: 0.0 μB per formula unit



3.
! Er2ScCu2, relaxed, DFT PBE; values from VASP
&SYSTEM
  ibrav = 0, nat = 5, ntyp = 3
/
ATOMIC_SPECIES
Er 167.26 Er.upf
Sc 44.96 Sc.upf
Cu 63.55 Cu.upf
CELL_PARAMETERS angstrom
-1.847 3.169 4.707
1.847 -3.169 4.707
1.847 3.169 -4.707
ATOMIC_POSITIONS angstrom
Er 0.000 0.000 1.905
Er 0.000 0.000 7.509
Sc 0.000 3.169 0.000
Cu 1.847 1.257 0.000
Cu 0.000 1.912 4.707
! ΔE_f: -145 meV/atom
! ΔE to the lowest computed polymorph: 32 meV per atom
! total moment: 0.0 μB per formula unit



4.
! ErScCu, relaxed, DFT PBE; values from VASP
&SYSTEM
  ibrav = 0, nat = 6, ntyp = 3
/
ATOMIC_SPECIES
Er 167.26 Er.upf
Sc 44.96 Sc.upf
Cu 63.55 Cu.upf
CELL_PARAMETERS angstrom
4.445 0.000 0.000
0.000 4.445 0.000
0.000 0.000 6.797
ATOMIC_POSITIONS angstrom
Er 1.111 1.111 0.855
Er 3.334 3.334 5.942
Sc 1.111 3.334 3.399
Sc 3.334 1.111 3.399
Cu 1.111 1.111 4.947
Cu 3.334 3.334 1.851
! ΔE_f: -146 meV/atom
! ΔE to the lowest computed polymorph: 37 meV per atom
! total moment: 0.0 μB per formula unit



Q: Among the records above, which one has the highest ΔE to the lowest computed polymorph?
A: number 1